First-principles (PBE+U) data for an optimized crystal structure of RbMo3O, as listed in the Alexandria database.

Geometry as POSCAR:
```
RbMo3O
1.0
5.078 0.000 0.000
0.000 5.078 0.000
0.000 0.000 5.078
Rb Mo O
1 3 1
direct
0.000 0.000 0.000
0.000 0.500 0.500
0.500 0.000 0.500
0.500 0.500 0.000
0.500 0.500 0.500
```

Properties
- DFT total energy: -4.2583 eV per atom
- Volume: 26.18 Å³/atom